1.
## AcSm7Th2 (GGA-PBE)

Data for a relaxed AcSm7Th2 crystal.

The space group is P-1 (No. 2) and the conventional cell measures 6.317, 7.292 and 8.193 Å, with angles of 77.61, 75.03 and 73.20 degrees. The asymmetric unit holds Ac at (0.000, 0.000, 0.000), Sm at (0.000, 0.500, 0.000), Sm at (0.201, 0.798, 0.593), Sm at (0.401, 0.099, 0.210), Sm at (0.401, 0.595, 0.210) and Th at (0.194, 0.308, 0.597).

The energy of formation from the pure elements comes out at 0.056 eV/atom.

***

2.
## Pm2Cu3Sn4Rh (GGA-PBE)

Data for a relaxed Pm2Cu3Sn4Rh crystal.

The space group is P-4m2 (No. 115) and the conventional cell measures 4.483, 4.483 and 10.657 Å, with angles of 90.00, 90.00 and 90.00 degrees. The asymmetric unit holds Pm at (0.000, 0.500, 0.238), Cu at (0.000, 0.000, 0.000), Cu at (0.000, 0.500, 0.635), Sn at (0.000, 0.000, 0.500), Sn at (0.000, 0.500, 0.872), Sn at (0.500, 0.500, 0.500) and Rh at (0.500, 0.500, 0.000).

The energy of formation from the pure elements comes out at -0.460 eV/atom.